A relaxed Zr2CoSi crystal. Source: the Alexandria database, functional PBE.

Computed properties:
**Size of the total moment**: 0.00 μB/f.u.
**Formation energy (no corrections)**: 1.44 eV per formula unit
**Total DFT energy (no corrections)**: -28.185 eV per formula unit

Lattice parameters (Å, degrees): 4.079 4.079 9.574 77.70 77.70 90.00
Fractional coordinates of all 8 atoms:
Zr 0.875 0.869 0.750
Zr 0.131 0.625 0.250
Zr 0.375 0.381 0.750
Zr 0.619 0.125 0.250
Co 0.750 0.250 0.500
Co 0.000 0.000 0.000
Si 0.500 0.500 0.000
Si 0.250 0.750 0.500